No. 1
Compound: Nd3Cu
Source: Alexandria
Functional: PBE
Structure: optimized geometry

Cell and atoms, written as POSCAR:
```
Nd3Cu
1.0
-3.513 -1.142 0.460
-0.316 -1.223 -5.443
3.752 -4.041 3.559
Nd Cu
3 1
Cartesian
0.959 -3.547 -1.480
-1.886 -1.074 -2.011
-0.965 -2.582 1.283
-0.310 -1.199 -5.337
```

Values from the calculation:
**Energy of formation**: -0.01 eV/atom
**SG**: Imm2 (44)

---

No. 2
Compound: LiTe2Br
Source: Alexandria
Functional: PBE
Structure: optimized geometry

Cell and atoms, written as POSCAR:
```
LiTe2Br
1.0
9.686 -0.017 -0.010
9.055 3.438 -0.010
9.055 1.653 3.015
Br Li Te
1 1 2
Cartesian
6.949 1.269 0.749
20.846 3.806 2.246
0.203 0.037 0.022
13.694 2.500 1.476
```

Values from the calculation:
**E_form (uncorrected)**: -2 kJ per mole of atoms
**SG**: R-3m (166)

---

No. 3
Compound: Pr2Cd3Au5
Source: Alexandria
Functional: PBE
Structure: optimized geometry

Cell and atoms, written as POSCAR:
```
Pr2Cd3Au5
1.0
-1.439 2.839 4.962
-9.531 0.544 0.427
-3.336 -6.442 6.221
Pr Cd Au
4 6 10
Cartesian
-6.384 -0.198 1.764
-4.236 -2.013 6.927
-7.922 -2.861 9.846
-10.070 -1.046 4.683
-8.420 -3.455 6.539
-10.151 -0.895 8.075
-5.886 0.396 5.071
-4.155 -2.164 3.535
-0.360 0.710 1.241
-1.079 2.129 3.722
-6.224 -4.485 7.765
-10.819 1.304 6.623
-8.082 1.426 3.845
-3.487 -4.363 4.987
-10.996 -3.483 7.559
-3.309 0.424 4.051
-7.513 -0.820 7.046
-6.793 -2.239 4.564
-2.590 -0.995 1.569
-11.716 -2.064 10.040
```

Values from the calculation:
**Energy of formation**: -0.43 eV/atom
**SG**: Ibam (72)

---

Values of M_tot, in order: 0.000; 0.000; 0.000, all in μB per cell.